The following is a DFT calculation (PBE-GGA) of a relaxed structure of ZrTl2Cu.

Lattice parameters (Å, degrees): 5.6169 5.6169 5.6169 135.27 135.27 65.11
Last column: nearest neighbours and their distance in Å.
Element x y z (fractional)
Zr 0.0000 0.0000 0.0000  8 Tl 3.02-3.19, 4 Cu 3.19
Tl 0.5000 0.5000 0.0000  4 Zr 3.02, 4 Tl 3.19, 4 Cu 3.19
Tl 0.7500 0.2500 0.5000  4 Cu 3.02, 4 Zr 3.19, 4 Tl 3.19
Cu 0.2500 0.7500 0.5000  8 Tl 3.02-3.19, 4 Zr 3.19

Formation energy = 0.198 eV per atom

The following is a DFT calculation (PBE-GGA) of a relaxed structure of Li2Cu5Ni4.

Lattice parameters (Å, degrees): 4.9446 4.9680 5.9385 76.40 76.79 74.17
Last column: nearest neighbours and their distance in Å.
Element x y z (fractional)
Li 0.1304 0.2855 0.2010  4 Ni 2.46-2.58, 5 Cu 2.56-2.72
Li 0.8696 0.7145 0.7990  4 Ni 2.46-2.58, 5 Cu 2.56-2.72
Cu 0.0218 0.1681 0.8019  4 Cu 2.45-2.68, 4 Ni 2.49-2.57, 2 Li 2.57-2.61
Cu 0.4974 0.8139 0.1696  4 Cu 2.36-2.51, 4 Ni 2.39-2.54, 2 Li 2.56-2.58
Cu 0.5000 0.0000 0.5000  2 Cu 2.36, 4 Ni 2.39-2.50
Cu 0.5026 0.1861 0.8304  4 Cu 2.36-2.51, 4 Ni 2.39-2.54, 2 Li 2.56-2.58
Cu 0.9782 0.8319 0.1981  4 Cu 2.45-2.68, 4 Ni 2.49-2.57, 2 Li 2.57-2.61
Ni 0.2574 0.5127 0.5005  4 Ni 2.37-2.64, 5 Cu 2.46-2.54, 2 Li 2.46-2.58
Ni 0.3653 0.6808 0.8510  5 Cu 2.39-2.57, 2 Li 2.49-2.50, 3 Ni 2.53-2.64
Ni 0.6347 0.3192 0.1490  5 Cu 2.39-2.57, 2 Li 2.49-2.50, 3 Ni 2.53-2.64
Ni 0.7426 0.4873 0.4995  4 Ni 2.37-2.64, 5 Cu 2.46-2.54, 2 Li 2.46-2.58

Formation energy = 0.086 eV per atom

The following is a DFT calculation (PBE-GGA) of a relaxed structure of CoRe3Ni.

Lattice parameters (Å, degrees): 4.3580 4.3580 4.3580 90.00 90.00 90.00
Last column: nearest neighbours and their distance in Å.
Element x y z (fractional)
Co 0.0000 0.0000 0.0000  6 Re 2.18
Re 0.0000 0.0000 0.5000  2 Co 2.18
Re 0.0000 0.5000 0.0000  2 Co 2.18
Re 0.5000 0.0000 0.0000  2 Co 2.18
Ni 0.5000 0.5000 0.5000  12 Re 3.08

Formation energy = 1.740 eV per atom

The following is a DFT calculation (PBE-GGA) of a relaxed structure of Cs2MgO2.

Lattice parameters (Å, degrees): 7.3741 7.3741 7.3741 114.73 82.03 136.08
Last column: nearest neighbours and their distance in Å.
Element x y z (fractional)
Cs 0.1481 0.1716 0.3197  4 O 2.94-3.21
Cs 0.3519 0.6716 0.0235  4 O 2.94-3.21
Cs 0.6481 0.3284 0.9765  4 O 2.94-3.21
Cs 0.8519 0.8284 0.6803  4 O 2.94-3.21
Mg 0.2500 0.7500 0.5000  4 O 2.03
Mg 0.7500 0.2500 0.5000  4 O 2.03
O 0.0890 0.6393 0.7283  2 Mg 2.03
O 0.4110 0.1393 0.5504  2 Mg 2.03
O 0.5890 0.8607 0.4496  2 Mg 2.03
O 0.9110 0.3607 0.2717  2 Mg 2.03

Formation energy (no corrections) = -1.614 eV/atom

The following is a DFT calculation (PBE-GGA) of a relaxed structure of TbNd2Lu.

Lattice parameters (Å, degrees): 5.1067 5.1067 5.0273 90.00 90.00 90.00
Last column: nearest neighbours and their distance in Å.
Element x y z (fractional)
Tb 0.0000 0.0000 0.0000  8 Nd 3.58, 4 Lu 3.61
Nd 0.0000 0.5000 0.5000  4 Lu 3.58, 4 Tb 3.58, 4 Nd 3.61
Nd 0.5000 0.0000 0.5000  4 Lu 3.58, 4 Tb 3.58, 4 Nd 3.61
Lu 0.5000 0.5000 0.0000  8 Nd 3.58, 4 Tb 3.61

Formation energy = 0.019 eV per atom

The following is a DFT calculation (PBE-GGA) of a relaxed structure of SrInGa2Ag.

Lattice parameters (Å, degrees): 6.6708 6.6708 6.6708 140.68 140.16 57.22
Last column: nearest neighbours and their distance in Å.
Element x y z (fractional)
Sr 0.0000 0.0000 0.0000  8 Ga 3.44-3.70, 4 Ag 3.45, 4 In 3.65-3.75
In 0.2457 0.7457 0.5000  2 Ga 2.78, 2 Ag 2.80
Ga 0.6092 0.6092 0.0000  1 Ag 2.59, 2 Ga 2.78, 2 In 2.78
Ga 0.7487 0.2487 0.5000  2 Ga 2.78, 2 Ag 2.80
Ag 0.3883 0.3883 0.0000  3 Ga 2.59-2.80, 2 In 2.80

Formation energy = -0.343 eV per atom

The following is a DFT calculation (PBE-GGA) of a relaxed structure of Ca3Ac3Pd4.

Lattice parameters (Å, degrees): 4.3158 8.1524 8.1524 89.21 90.00 90.00
Last column: nearest neighbours and their distance in Å.
Element x y z (fractional)
Ca 0.0000 0.0000 0.0000  6 Pd 3.19-3.27
Ca 0.5000 0.3225 0.8384  4 Pd 3.11-3.26
Ca 0.5000 0.8384 0.3225  4 Pd 3.11-3.26
Ac 0.0000 0.1660 0.4985  6 Pd 3.18-3.27
Ac 0.0000 0.4985 0.1660  6 Pd 3.18-3.27
Ac 0.0000 0.6708 0.6708  6 Pd 3.21-3.22
Pd 0.5000 0.2029 0.2029  1 Pd 3.05, 4 Ca 3.11-3.19, 4 Ac 3.25
Pd 0.5000 0.4652 0.4652  1 Pd 3.05, 6 Ac 3.22-3.27, 2 Ca 3.24
Pd 0.5000 0.7013 0.9606  1 Pd 2.97, 4 Ca 3.17-3.27, 4 Ac 3.18-3.21
Pd 0.5000 0.9606 0.7013  1 Pd 2.97, 4 Ca 3.17-3.27, 4 Ac 3.18-3.21

Formation energy = -0.663 eV per atom

The following is a DFT calculation (PBE-GGA) of a relaxed structure of Dy2Al4GaPt3.

Lattice parameters (Å, degrees): 4.1858 4.1858 10.6643 90.00 90.00 90.00
Last column: nearest neighbours and their distance in Å.
Element x y z (fractional)
Dy 0.0000 0.5000 0.2475  8 Al 3.20-3.37, 6 Pt 3.20-3.41, 2 Ga 3.41
Dy 0.5000 0.0000 0.7525  8 Al 3.20-3.37, 6 Pt 3.20-3.41, 2 Ga 3.41
Al 0.0000 0.0000 0.0000  4 Pt 2.53
Al 0.0000 0.5000 0.6384  3 Pt 2.44-2.56, 2 Ga 2.56
Al 0.5000 0.0000 0.3616  3 Pt 2.44-2.56, 2 Ga 2.56
Al 0.5000 0.5000 0.0000  4 Pt 2.53
Ga 0.0000 0.0000 0.5000  4 Al 2.56
Pt 0.0000 0.5000 0.8668  5 Al 2.44-2.53
Pt 0.5000 0.0000 0.1332  5 Al 2.44-2.53
Pt 0.5000 0.5000 0.5000  4 Al 2.56

Formation energy = -0.986 eV per atom

Please write out number 8 again, unchanged.
The following is a DFT calculation (PBE-GGA) of a relaxed structure of Dy2Al4GaPt3.

Lattice parameters (Å, degrees): 4.1858 4.1858 10.6643 90.00 90.00 90.00
Last column: nearest neighbours and their distance in Å.
Element x y z (fractional)
Dy 0.0000 0.5000 0.2475  8 Al 3.20-3.37, 6 Pt 3.20-3.41, 2 Ga 3.41
Dy 0.5000 0.0000 0.7525  8 Al 3.20-3.37, 6 Pt 3.20-3.41, 2 Ga 3.41
Al 0.0000 0.0000 0.0000  4 Pt 2.53
Al 0.0000 0.5000 0.6384  3 Pt 2.44-2.56, 2 Ga 2.56
Al 0.5000 0.0000 0.3616  3 Pt 2.44-2.56, 2 Ga 2.56
Al 0.5000 0.5000 0.0000  4 Pt 2.53
Ga 0.0000 0.0000 0.5000  4 Al 2.56
Pt 0.0000 0.5000 0.8668  5 Al 2.44-2.53
Pt 0.5000 0.0000 0.1332  5 Al 2.44-2.53
Pt 0.5000 0.5000 0.5000  4 Al 2.56

Formation energy = -0.986 eV per atom